Here is a geometry-optimized TlPb2Se structure from the Alexandria database. Energies are from PBE.

Geometry as CIF:
```
data_TlPb2Se
_space_group_name_H-M_alt 'F -4 3 m'
_space_group_IT_number 216
_space_group_name_Hall 'F -4 2 3'
_cell_length_a 7.7489
_cell_length_b 7.7489
_cell_length_c 7.7489
_cell_angle_alpha 90.00
_cell_angle_beta 90.00
_cell_angle_gamma 90.00
loop_
_atom_site_label
_atom_site_type_symbol
_atom_site_fract_x
_atom_site_fract_y
_atom_site_fract_z
_atom_site_occupancy
Tl1 Tl 0.0000 0.0000 0.0000 1
Pb1 Pb 0.0000 0.0000 0.5000 1
Pb2 Pb 0.2500 0.2500 0.2500 1
Se1 Se 0.2500 0.2500 0.7500 1
```

Calculated values
E_form (uncorrected) ... 0.004 eV per atom

=====

Here is a geometry-optimized La5PmO6 structure from the Alexandria database. Energies are from PBE.

Geometry as CIF:
```
data_La5PmO6
_space_group_name_H-M_alt 'C 1 2/m 1'
_space_group_IT_number 12
_cell_length_a 6.2799
_cell_length_b 10.8874
_cell_length_c 6.2948
_cell_angle_alpha 90.00
_cell_angle_beta 109.65
_cell_angle_gamma 90.00
loop_
_space_group_symop_operation_xyz
'x,y,z'
'-x,-y,-z'
'-x,y,-z'
'x,-y,z'
'x+1/2,y+1/2,z'
'-x+1/2,-y+1/2,-z'
'-x+1/2,y+1/2,-z'
'x+1/2,-y+1/2,z'
loop_
_atom_site_label
_atom_site_type_symbol
_atom_site_fract_x
_atom_site_fract_y
_atom_site_fract_z
_atom_site_occupancy
La1 La 0.0000 0.0000 0.0000 1
La2 La 0.0000 0.1661 0.5000 1
La3 La 0.0000 0.3323 0.0000 1
Pm1 Pm 0.0000 0.5000 0.5000 1
O1 O 0.2437 0.3364 0.7419 1
O2 O 0.2444 0.5000 0.2550 1
```

Calculated values
E_form (uncorrected) ... -2.843 eV per atom

=====

Here is a geometry-optimized KCdSe2Br structure from the Alexandria database. Energies are from PBE.

Geometry as CIF:
```
data_KCdSe2Br
_space_group_name_H-M_alt 'P 4/m m m'
_space_group_IT_number 123
_space_group_name_Hall '-P 4 2'
_cell_length_a 6.2439
_cell_length_b 6.2439
_cell_length_c 6.0490
_cell_angle_alpha 90.00
_cell_angle_beta 90.00
_cell_angle_gamma 90.00
loop_
_atom_site_label
_atom_site_type_symbol
_atom_site_fract_x
_atom_site_fract_y
_atom_site_fract_z
_atom_site_occupancy
K1 K 0.0000 0.0000 0.0000 1
Cd1 Cd 0.5000 0.5000 0.5000 1
Se1 Se 0.0000 0.5000 0.0000 1
Br1 Br 0.0000 0.0000 0.5000 1
```

Calculated values
E_form (uncorrected) ... 0.417 eV per atom

=====

Here is a geometry-optimized Ta2Be9Mo structure from the Alexandria database. Energies are from PBE.

Geometry as CIF:
```
data_Ta2Be9Mo
_space_group_name_H-M_alt 'P 63/m m c'
_space_group_IT_number 194
_space_group_name_Hall '-P 6c 2c'
_cell_length_a 4.5108
_cell_length_b 4.5108
_cell_length_c 13.9599
_cell_angle_alpha 90.00
_cell_angle_beta 90.00
_cell_angle_gamma 120.00
loop_
_atom_site_label
_atom_site_type_symbol
_atom_site_fract_x
_atom_site_fract_y
_atom_site_fract_z
_atom_site_occupancy
Ta1 Ta 0.3333 0.6667 0.0395 1
Be1 Be 0.0000 0.0000 0.0000 1
Be2 Be 0.0000 0.0000 0.2500 1
Be3 Be 0.1685 0.3370 0.6292 1
Be4 Be 0.3333 0.6667 0.7500 1
Mo1 Mo 0.3333 0.6667 0.2500 1
```

Calculated values
Energy of formation ... -0.22 eV per atom

=====

Here is a geometry-optimized LaHo2Au structure from the Alexandria database. Energies are from PBE.

Geometry as CIF:
```
data_LaHo2Au
_space_group_name_H-M_alt 'R -3 m'
_space_group_IT_number 166
_space_group_name_Hall '-R 3 2"'
_cell_length_a 3.7656
_cell_length_b 3.7656
_cell_length_c 29.9962
_cell_angle_alpha 90.00
_cell_angle_beta 90.00
_cell_angle_gamma 120.00
loop_
_atom_site_label
_atom_site_type_symbol
_atom_site_fract_x
_atom_site_fract_y
_atom_site_fract_z
_atom_site_occupancy
La1 La 0.0000 0.0000 0.0000 1
Ho1 Ho 0.0000 0.0000 0.2329 1
Au1 Au 0.0000 0.0000 0.5000 1
```

Calculated values
Energy of formation ... -0.29 eV per atom

=====

Here is a geometry-optimized BaNaEuSi3O9 structure from the Alexandria database. Energies are from PBE.

Geometry as CIF:
```
data_BaNaEuSi3O9
_space_group_name_H-M_alt 'P 21 21 21'
_space_group_IT_number 19
_cell_length_a 5.7400
_cell_length_b 11.6622
_cell_length_c 12.6848
_cell_angle_alpha 90.00
_cell_angle_beta 90.00
_cell_angle_gamma 90.00
loop_
_space_group_symop_operation_xyz
'x,y,z'
'-x+1/2,-y,z+1/2'
'x+1/2,-y+1/2,-z'
'-x,y+1/2,-z+1/2'
loop_
_atom_site_label
_atom_site_type_symbol
_atom_site_fract_x
_atom_site_fract_y
_atom_site_fract_z
_atom_site_occupancy
Ba1 Ba 0.1034 0.1165 0.4194 1
Na1 Na 0.0701 0.7837 0.3933 1
Eu1 Eu 0.1123 0.4687 0.3615 1
Si1 Si 0.0982 0.1972 0.6871 1
Si2 Si 0.0983 0.8489 0.6428 1
Si3 Si 0.1053 0.5890 0.6228 1
O1 O 0.0119 0.4988 0.5364 1
O2 O 0.0346 0.4416 0.9297 1
O3 O 0.0801 0.3202 0.7552 1
O4 O 0.0981 0.0980 0.7828 1
O5 O 0.1134 0.7239 0.5739 1
O6 O 0.1287 0.6868 0.8889 1
O7 O 0.1384 0.1226 0.1824 1
O8 O 0.1447 0.4397 0.1766 1
O9 O 0.1589 0.8134 0.1239 1
```

Calculated values
E_form (uncorrected) ... -2.794 eV per atom